{
  "formula": "SmBiN2O",
  "functional": "PBE-GGA",
  "state": "relaxed",
  "final_energy_ev_per_atom": -6.67,
  "vol_a3_per_cell": 153,
  "magmom_total_mub_per_cell": 0.001,
  "cell": [[3.7157, 0.0000, 0.0000], [0.0000, 6.7305, 0.0000], [0.0000, 0.0000, 6.1099]],
  "species": ["Sm", "Sm", "Bi", "Bi", "N", "N", "N", "N", "O", "O"],
  "frac_coords": [[0.0000, 0.1467, 0.0000], [0.0000, 0.8533, 0.5000], [0.5000, 0.3304, 0.5357], [0.5000, 0.6696, 0.0357], [0.0000, 0.1912, 0.6045], [0.0000, 0.8088, 0.1045], [0.5000, 0.3831, 0.9031], [0.5000, 0.6169, 0.4031], [0.5000, 0.0970, 0.2662], [0.5000, 0.9030, 0.7662]]
}